DFT (GGA-PBE) results for a relaxed structure of Sm15Ho4Al.

Calculated values
Final energy = -4.65 eV per atom
Formation energy from the elements = -1 kJ per mole of atoms
Total moment = 0.000 μB/atom
Space-group type = P4/mmm, No. 123

```
Sm15Ho4Al
1.0
-1.332 0.696 4.803
0.387 -4.950 0.825
24.394 2.963 6.335
Sm Ho Al
15 4 1
Cartesian
19.172 0.260 7.915 Sm
22.302 0.211 6.154 Sm
11.531 1.830 5.569 Sm
21.443 3.034 8.143 Sm
9.238 -0.947 5.336 Sm
16.486 2.432 6.856 Sm
14.211 -0.343 6.627 Sm
-0.472 -2.127 2.814 Sm
2.479 -2.197 1.006 Sm
17.346 -0.391 4.867 Sm
12.391 -0.993 3.580 Sm
7.435 -1.595 2.293 Sm
6.576 1.228 4.282 Sm
1.619 0.626 2.995 Sm
4.278 -1.550 4.047 Sm
19.617 2.383 5.094 Ho
9.728 1.182 2.526 Ho
4.777 0.580 1.241 Ho
14.666 1.782 3.809 Ho
0.000 0.000 0.000 Al
```